1.
The following is a DFT calculation (GGA-PBE) of crystalline Tm2ScBe3Pt4 at its relaxed geometry.

a b c (Å): 3.9725 3.9725 10.5272
angles (deg): 90.00 90.00 90.00
Last column: nearest neighbours and their distance in Å.
Sites, in units of the cell vectors:
1 Tm 0.5000 0.0000 0.2279  8 Pt 3.03-3.11, 4 Be 3.05
2 Tm 0.0000 0.5000 0.7721  8 Pt 3.03-3.11, 4 Be 3.05
3 Sc 0.5000 0.5000 0.5000  4 Pt 2.63, 4 Be 2.81
4 Be 0.0000 0.0000 0.5000  4 Pt 2.63, 4 Sc 2.81
5 Be 0.5000 0.0000 0.8852  5 Pt 2.32-2.34
6 Be 0.0000 0.5000 0.1148  5 Pt 2.32-2.34
7 Pt 0.5000 0.5000 0.0000  4 Be 2.32
8 Pt 0.0000 0.0000 0.0000  4 Be 2.32
9 Pt 0.5000 0.0000 0.6633  1 Be 2.34
10 Pt 0.0000 0.5000 0.3367  1 Be 2.34

E_form (eV/atom): -0.941

***

2.
The following is a DFT calculation (GGA-PBE) of crystalline KPm2Er3Te6 at its relaxed geometry.

a b c (Å): 4.3668 9.0813 10.0194
angles (deg): 104.53 102.59 90.00
Last column: nearest neighbours and their distance in Å.
Sites, in units of the cell vectors:
1 K 0.5000 0.0000 0.0000  6 Te 3.27-3.30
2 Pm 0.8268 0.6491 0.6535  6 Te 3.14-3.29
3 Pm 0.1732 0.3509 0.3465  6 Te 3.14-3.29
4 Er 0.5000 0.5000 0.0000  6 Te 3.03-3.05
5 Er 0.8363 0.1744 0.6726  6 Te 3.03-3.15
6 Er 0.1637 0.8256 0.3274  6 Te 3.03-3.15
7 Te 0.3256 0.9196 0.6512  3 Er 3.06-3.15, 2 Pm 3.29, 1 K 3.30
8 Te 0.6615 0.5930 0.3230  3 Er 3.03-3.05, 3 Pm 3.14-3.15
9 Te 0.6744 0.0804 0.3488  3 Er 3.06-3.15, 2 Pm 3.29, 1 K 3.30
10 Te 0.0005 0.2684 0.0010  3 Er 3.03-3.10, 1 Pm 3.27, 2 K 3.27
11 Te 0.9995 0.7316 0.9990  3 Er 3.03-3.10, 1 Pm 3.27, 2 K 3.27
12 Te 0.3385 0.4070 0.6770  3 Er 3.03-3.05, 3 Pm 3.14-3.15

Formation energy from raw total energies (eV/atom): -1.32

***

3.
The following is a DFT calculation (GGA-PBE) of crystalline ZrBeAl2 at its relaxed geometry.

a b c (Å): 5.3632 5.3632 5.3632
angles (deg): 143.61 134.30 59.77
Last column: nearest neighbours and their distance in Å.
Sites, in units of the cell vectors:
1 Be 0.7500 0.2500 0.5000  4 Zr 2.67, 4 Al 2.72
2 Al 0.9809 0.9809 0.0000  4 Al 2.70, 2 Be 2.72, 4 Zr 2.99-3.01
3 Al 0.5191 0.5191 0.0000  4 Al 2.70, 2 Be 2.72, 4 Zr 2.99-3.01
4 Zr 0.2500 0.7500 0.5000  4 Be 2.67, 4 Al 2.99

E_form (eV/atom): -0.164

***

4.
The following is a DFT calculation (GGA-PBE) of crystalline Er6AgRu at its relaxed geometry.

a b c (Å): 4.9813 4.9813 9.1606
angles (deg): 74.22 74.20 90.00
Last column: nearest neighbours and their distance in Å.
Sites, in units of the cell vectors:
1 Er 0.7532 0.7531 0.4938  12 Er 3.52-3.61
2 Er 0.5987 0.0989 0.8022  2 Ru 3.00, 2 Ag 3.00, 1 Er 3.35
3 Er 0.0991 0.5989 0.8022  2 Ag 3.00, 2 Ru 3.00, 1 Er 3.35
4 Er 0.4013 0.9011 0.1978  2 Ru 3.00, 2 Ag 3.00, 1 Er 3.35
5 Er 0.2468 0.2469 0.5062  12 Er 3.52-3.61
6 Er 0.9009 0.4011 0.1978  2 Ag 3.00, 2 Ru 3.00, 1 Er 3.35
7 Ag 0.5000 0.5000 0.0000  8 Er 3.00
8 Ru 0.0000 0.0000 0.0000  8 Er 3.00

E_form (eV/atom): -0.155
ΔE to the lowest computed polymorph (kcal/mol of atoms): 0.00

***

5.
The following is a DFT calculation (GGA-PBE) of crystalline Sr2Al2SnAu6 at its relaxed geometry.

a b c (Å): 6.9694 6.9694 7.7967
angles (deg): 63.45 63.45 60.00
Last column: nearest neighbours and their distance in Å.
Sites, in units of the cell vectors:
1 Sr 0.7397 0.7397 0.7808  9 Au 3.29-3.62, 1 Al 3.32
2 Sr 0.2603 0.2603 0.2192  9 Au 3.29-3.62, 1 Al 3.32
3 Al 0.4262 0.4262 0.7213  3 Au 2.43
4 Al 0.5738 0.5738 0.2787  3 Au 2.43
5 Sn 0.0000 0.0000 0.0000  6 Au 2.89
6 Au 0.7450 0.7450 0.3548  1 Al 2.43
7 Au 0.1553 0.7450 0.3548  1 Al 2.43
8 Au 0.7450 0.1553 0.3548  1 Al 2.43
9 Au 0.2550 0.8447 0.6452  1 Al 2.43
10 Au 0.8447 0.2550 0.6452  1 Al 2.43
11 Au 0.2550 0.2550 0.6452  1 Al 2.43

E_form (eV/atom): -0.371

***

6.
The following is a DFT calculation (GGA-PBE) of crystalline CoBRh2Pb at its relaxed geometry.

a b c (Å): 4.1837 4.1837 3.9880
angles (deg): 90.00 90.00 90.00
Last column: nearest neighbours and their distance in Å.
Sites, in units of the cell vectors:
1 Pb 0.5000 0.5000 0.5000  8 Rh 2.89, 4 Co 2.96
2 Co 0.0000 0.0000 0.5000  2 B 1.99
3 B 0.0000 0.0000 0.0000  2 Co 1.99, 4 Rh 2.09
4 Rh 0.0000 0.5000 0.0000  2 B 2.09
5 Rh 0.5000 0.0000 0.0000  2 B 2.09

E_form (eV/atom): -0.074

***

7.
The following is a DFT calculation (GGA-PBE) of crystalline GaBPt2 at its relaxed geometry.

a b c (Å): 5.3410 5.3410 6.1910
angles (deg): 64.45 64.45 90.00
Last column: nearest neighbours and their distance in Å.
Sites, in units of the cell vectors:
1 B 0.5000 0.5000 0.0000  4 Pt 2.05
2 B 0.2500 0.7500 0.5000  4 Pt 2.05
3 Ga 0.0000 0.0000 0.0000  4 Pt 2.50
4 Ga 0.7500 0.2500 0.5000  4 Pt 2.50
5 Pt 0.5541 0.1250 0.2500  2 B 2.05
6 Pt 0.1959 0.6250 0.2500  2 B 2.05
7 Pt 0.3750 0.4459 0.7500  2 B 2.05
8 Pt 0.8750 0.8041 0.7500  2 B 2.05

E_form (eV/atom): -0.177
ΔE to the lowest computed polymorph (kcal/mol of atoms): 0.00

***

8.
The following is a DFT calculation (GGA-PBE) of crystalline Na2FePd at its relaxed geometry.

a b c (Å): 8.0112 8.0112 6.2407
angles (deg): 50.07 50.07 90.00
Last column: nearest neighbours and their distance in Å.
Sites, in units of the cell vectors:
1 Na 0.6428 0.1250 0.2500  2 Na 2.63, 2 Pd 2.81
2 Na 0.1072 0.6250 0.2500  2 Na 2.63, 2 Pd 2.81
3 Na 0.3750 0.3572 0.7500  2 Na 2.63, 2 Pd 2.81
4 Na 0.8750 0.8928 0.7500  2 Na 2.63, 2 Pd 2.81
5 Fe 0.5000 0.5000 0.0000  2 Pd 2.62
6 Fe 0.2500 0.7500 0.5000  2 Pd 2.62
7 Pd 0.0000 0.0000 0.0000  2 Fe 2.62, 4 Na 2.81
8 Pd 0.7500 0.2500 0.5000  2 Fe 2.62, 4 Na 2.81

E_form (eV/atom): 0.637
ΔE to the lowest computed polymorph (kcal/mol of atoms): 0.35

***

9.
The following is a DFT calculation (GGA-PBE) of crystalline CsZrSi3 at its relaxed geometry.

a b c (Å): 5.2546 5.2546 5.2546
angles (deg): 90.00 90.00 90.00
Last column: nearest neighbours and their distance in Å.
Sites, in units of the cell vectors:
1 Cs 0.5000 0.5000 0.5000  12 Si 3.72
2 Si 0.0000 0.5000 0.0000  2 Zr 2.63
3 Si 0.0000 0.0000 0.5000  2 Zr 2.63
4 Si 0.5000 0.0000 0.0000  2 Zr 2.63
5 Zr 0.0000 0.0000 0.0000  6 Si 2.63

ΔE to the lowest computed polymorph (kcal/mol of atoms): 0.00
Formation energy from raw total energies (eV/atom): 0.36

***

10.
The following is a DFT calculation (GGA-PBE) of crystalline La2SmEr5 at its relaxed geometry.

a b c (Å): 5.1015 7.1455 14.3005
angles (deg): 90.00 90.00 90.00
Last column: nearest neighbours and their distance in Å.
Sites, in units of the cell vectors:
1 La 0.5000 0.2548 0.6261  10 Er 3.57-3.59, 2 Sm 3.62
2 La 0.5000 0.7452 0.3739  10 Er 3.57-3.59, 2 Sm 3.62
3 La 0.5000 0.2452 0.1261  10 Er 3.57-3.59, 2 Sm 3.62
4 La 0.5000 0.7548 0.8739  10 Er 3.57-3.59, 2 Sm 3.62
5 Sm 0.0000 0.0000 0.5000  8 Er 3.57-3.59, 4 La 3.62
6 Sm 0.0000 0.5000 0.0000  8 Er 3.57-3.59, 4 La 3.62
7 Er 0.0000 0.0000 0.0000  6 Er 3.56-3.61, 2 Sm 3.57, 4 La 3.58
8 Er 0.0000 0.5000 0.5000  6 Er 3.56-3.61, 2 Sm 3.57, 4 La 3.58
9 Er 0.0000 0.5058 0.7492  7 Er 3.56-3.60, 4 La 3.58, 1 Sm 3.59
10 Er 0.0000 0.4942 0.2508  7 Er 3.56-3.60, 4 La 3.58, 1 Sm 3.59
11 Er 0.0000 0.9942 0.2492  7 Er 3.56-3.60, 4 La 3.58, 1 Sm 3.59
12 Er 0.0000 0.0058 0.7508  7 Er 3.56-3.60, 4 La 3.58, 1 Sm 3.59
13 Er 0.5000 0.2550 0.8754  4 La 3.57-3.59, 2 Sm 3.57, 6 Er 3.59-3.61
14 Er 0.5000 0.7450 0.1246  4 La 3.57-3.59, 2 Sm 3.57, 6 Er 3.59-3.61
15 Er 0.5000 0.2450 0.3754  4 La 3.57-3.59, 2 Sm 3.57, 6 Er 3.59-3.61
16 Er 0.5000 0.7550 0.6246  4 La 3.57-3.59, 2 Sm 3.57, 6 Er 3.59-3.61

E_form (eV/atom): 0.034
ΔE to the lowest computed polymorph (kcal/mol of atoms): 0.09

***

11.
The following is a DFT calculation (GGA-PBE) of crystalline MgBi2IrO6 at its relaxed geometry.

a b c (Å): 5.5745 5.7884 7.9282
angles (deg): 90.00 91.62 90.00
Last column: nearest neighbours and their distance in Å.
Sites, in units of the cell vectors:
1 Mg 0.5000 0.0000 0.0000  6 O 2.10-2.16
2 Mg 0.0000 0.5000 0.5000  6 O 2.10-2.16
3 Bi 0.0067 0.9353 0.2685  6 O 2.34-2.59
4 Bi 0.5067 0.5647 0.7685  6 O 2.34-2.59
5 Bi 0.9933 0.0647 0.7315  6 O 2.34-2.59
6 Bi 0.4933 0.4353 0.2315  6 O 2.34-2.59
7 Ir 0.5000 0.0000 0.5000  6 O 2.03-2.06
8 Ir 0.0000 0.5000 0.0000  6 O 2.03-2.06
9 O 0.3184 0.6801 0.0259  1 Ir 2.06, 1 Mg 2.12
10 O 0.8184 0.8199 0.5259  1 Ir 2.06, 1 Mg 2.12
11 O 0.6816 0.3199 0.9741  1 Ir 2.06, 1 Mg 2.12
12 O 0.1816 0.1801 0.4741  1 Ir 2.06, 1 Mg 2.12
13 O 0.2965 0.7205 0.4384  1 Ir 2.03, 1 Mg 2.16
14 O 0.7965 0.7795 0.9384  1 Ir 2.03, 1 Mg 2.16
15 O 0.7035 0.2795 0.5616  1 Ir 2.03, 1 Mg 2.16
16 O 0.2035 0.2205 0.0616  1 Ir 2.03, 1 Mg 2.16
17 O 0.8993 0.5355 0.2437  1 Ir 2.04, 1 Mg 2.10
18 O 0.3993 0.9645 0.7437  1 Ir 2.04, 1 Mg 2.10
19 O 0.1007 0.4645 0.7563  1 Ir 2.04, 1 Mg 2.10
20 O 0.6007 0.0355 0.2563  1 Ir 2.04, 1 Mg 2.10

Formation energy from raw total energies (eV/atom): -1.35

***

12.
The following is a DFT calculation (GGA-PBE) of crystalline Ba2Li5Sn3 at its relaxed geometry.

a b c (Å): 6.9474 9.5863 9.5863
angles (deg): 70.24 68.75 68.75
Last column: nearest neighbours and their distance in Å.
Sites, in units of the cell vectors:
1 Ba 0.1186 0.6154 0.1474  7 Li 3.40-3.70, 6 Sn 3.70-3.80
2 Ba 0.6186 0.1474 0.6154  7 Li 3.40-3.70, 6 Sn 3.70-3.80
3 Ba 0.8814 0.3846 0.8526  7 Li 3.40-3.70, 6 Sn 3.70-3.80
4 Ba 0.3814 0.8526 0.3846  7 Li 3.40-3.70, 6 Sn 3.70-3.80
5 Li 0.3945 0.2567 0.9543  3 Sn 2.81-2.83, 2 Li 2.84
6 Li 0.8945 0.9543 0.2567  3 Sn 2.81-2.83, 2 Li 2.84
7 Li 0.6055 0.7433 0.0457  3 Sn 2.81-2.83, 2 Li 2.84
8 Li 0.1055 0.0457 0.7433  3 Sn 2.81-2.83, 2 Li 2.84
9 Li 0.4629 0.7871 0.7871  3 Sn 2.83-2.99, 2 Li 2.84
10 Li 0.5371 0.2129 0.2129  3 Sn 2.83-2.99, 2 Li 2.84
11 Li 0.7500 0.5000 0.5000  4 Sn 2.93
12 Li 0.2500 0.5000 0.5000  4 Sn 2.93
13 Li 0.0371 0.2129 0.2129  3 Sn 2.83-2.99, 2 Li 2.84
14 Li 0.9629 0.7871 0.7871  3 Sn 2.83-2.99, 2 Li 2.84
15 Sn 0.3510 0.5493 0.7487  5 Li 2.81-2.93
16 Sn 0.8510 0.7487 0.5493  5 Li 2.81-2.93
17 Sn 0.6490 0.4507 0.2513  5 Li 2.81-2.93
18 Sn 0.1490 0.2513 0.4507  5 Li 2.81-2.93
19 Sn 0.2500 0.0000 0.0000  6 Li 2.83-2.99
20 Sn 0.7500 0.0000 0.0000  6 Li 2.83-2.99

E_form (eV/atom): -0.409

***

13.
The following is a DFT calculation (GGA-PBE) of crystalline Dy3Al4Zn at its relaxed geometry.

a b c (Å): 5.8454 5.6630 10.7492
angles (deg): 90.00 90.00 90.00
Last column: nearest neighbours and their distance in Å.
Sites, in units of the cell vectors:
1 Zn 0.6695 0.5000 0.0000  4 Al 2.59-2.67, 4 Dy 2.82-2.89
2 Zn 0.3305 0.0000 0.5000  4 Al 2.59-2.67, 4 Dy 2.82-2.89
3 Al 0.3348 0.5000 0.8424  1 Zn 2.59, 2 Al 2.78
4 Al 0.3348 0.5000 0.1576  1 Zn 2.59, 2 Al 2.78
5 Al 0.0532 0.2427 0.0000  1 Zn 2.67, 4 Al 2.75-2.91
6 Al 0.0532 0.7573 0.0000  1 Zn 2.67, 4 Al 2.75-2.91
7 Al 0.9468 0.7427 0.5000  1 Zn 2.67, 4 Al 2.75-2.91
8 Al 0.9468 0.2573 0.5000  1 Zn 2.67, 4 Al 2.75-2.91
9 Al 0.6652 0.0000 0.3424  1 Zn 2.59, 2 Al 2.78
10 Al 0.6652 0.0000 0.6576  1 Zn 2.59, 2 Al 2.78
11 Dy 0.5737 0.0000 0.0000  2 Zn 2.89, 2 Al 3.12
12 Dy 0.4263 0.5000 0.5000  2 Zn 2.89, 2 Al 3.12
13 Dy 0.8285 0.5000 0.7525  1 Zn 2.82, 4 Al 3.04-3.12
14 Dy 0.8285 0.5000 0.2475  1 Zn 2.82, 4 Al 3.04-3.12
15 Dy 0.1715 0.0000 0.7475  1 Zn 2.82, 4 Al 3.04-3.12
16 Dy 0.1715 0.0000 0.2525  1 Zn 2.82, 4 Al 3.04-3.12

E_form (eV/atom): -0.363